[1]
The following is a PBE-GGA calculation of LuCoCuBi after structural relaxation, from OQMD.

Results
- Size of the total moment: 1.21 μB per formula unit
- Symmetry: F-43m
- Energy above the lowest structure with this stoichiometry: 282 meV per atom
- E: -4.6311 eV/atom

Cell lengths 6.7889, 6.7889, 6.7889 Å; angles 90.00, 90.00, 90.00 degrees
With the nearest neighbours (Å) after each atom.
Atoms (fractional coordinates):
Lu1 0.0000 0.0000 0.0000  4 Co 2.94, 4 Bi 2.94
Lu2 0.0000 0.5000 0.5000  4 Co 2.94, 4 Bi 2.94
Lu3 0.5000 0.0000 0.5000  4 Co 2.94, 4 Bi 2.94
Lu4 0.5000 0.5000 0.0000  4 Co 2.94, 4 Bi 2.94
Co1 0.2500 0.2500 0.7500  4 Cu 2.94, 4 Lu 2.94
Co2 0.2500 0.7500 0.2500  4 Cu 2.94, 4 Lu 2.94
Co3 0.7500 0.2500 0.2500  4 Cu 2.94, 4 Lu 2.94
Co4 0.7500 0.7500 0.7500  4 Cu 2.94, 4 Lu 2.94
Cu1 0.0000 0.0000 0.5000  4 Bi 2.94, 4 Co 2.94
Cu2 0.0000 0.5000 0.0000  4 Bi 2.94, 4 Co 2.94
Cu3 0.5000 0.0000 0.0000  4 Bi 2.94, 4 Co 2.94
Cu4 0.5000 0.5000 0.5000  4 Bi 2.94, 4 Co 2.94
Bi1 0.2500 0.2500 0.2500  4 Lu 2.94, 4 Cu 2.94
Bi2 0.2500 0.7500 0.7500  4 Lu 2.94, 4 Cu 2.94
Bi3 0.7500 0.2500 0.7500  4 Lu 2.94, 4 Cu 2.94
Bi4 0.7500 0.7500 0.2500  4 Lu 2.94, 4 Cu 2.94

---

[2]
The following is a PBE-GGA calculation of PrHoC2 after structural relaxation, from OQMD.

Results
- Size of the total moment: 0.00 μB per formula unit
- Symmetry: Amm2
- E: -6.9626 eV/atom

Cell lengths 4.0744, 5.5841, 6.8327 Å; angles 90.00, 90.00, 90.00 degrees
With the nearest neighbours (Å) after each atom.
Atoms (fractional coordinates):
Pr1 0.0000 0.0000 0.0000  4 C 2.65
Pr2 0.0000 0.5000 0.5000  4 C 2.65
Ho1 0.5000 0.0000 0.4302  4 C 2.35-2.45
Ho2 0.5000 0.5000 0.9302  4 C 2.35-2.45
C1 0.5000 0.1238 0.7748  1 C 1.38
C2 0.5000 0.3762 0.2748  1 C 1.38
C3 0.5000 0.6238 0.2748  1 C 1.38
C4 0.5000 0.8762 0.7748  1 C 1.38

---

[3]
The following is a PBE-GGA calculation of SrSmCuSe2S after structural relaxation, from OQMD.

Results
- Size of the total moment: 0.00 μB per formula unit
- Symmetry: Cmcm
- E: -5.1328 eV/atom

Cell lengths 7.0398, 7.0398, 10.5228 Å; angles 90.00, 90.00, 146.24 degrees
With the nearest neighbours (Å) after each atom.
Atoms (fractional coordinates):
Sr1 0.2380 0.7620 0.7500  2 S 3.03, 4 Se 3.21
Sr2 0.7620 0.2380 0.2500  2 S 3.03, 4 Se 3.21
Sm1 0.5000 0.5000 0.0000  2 S 2.80, 4 Se 2.92
Sm2 0.5000 0.5000 0.5000  2 S 2.80, 4 Se 2.92
Cu1 0.0266 0.9734 0.2500  2 S 2.44, 2 Se 2.48
Cu2 0.9734 0.0266 0.7500  2 S 2.44, 2 Se 2.48
Se1 0.1445 0.8555 0.0695  1 Cu 2.48
Se2 0.1445 0.8555 0.4305  1 Cu 2.48
Se3 0.8555 0.1445 0.5695  1 Cu 2.48
Se4 0.8555 0.1445 0.9305  1 Cu 2.48
S1 0.4280 0.5720 0.2500  2 Cu 2.44
S2 0.5720 0.4280 0.7500  2 Cu 2.44

---

[4]
The following is a PBE-GGA calculation of HfSc2Ge after structural relaxation, from OQMD.

Results
- Size of the total moment: 0.01 μB per formula unit
- Symmetry: F-43m
- E: -6.9241 eV/atom

Cell lengths 6.8346, 6.8346, 6.8346 Å; angles 90.00, 90.00, 90.00 degrees
With the nearest neighbours (Å) after each atom.
Atoms (fractional coordinates):
Hf1 0.0000 0.0000 0.0000  4 Sc 2.96, 4 Ge 2.96
Hf2 0.0000 0.5000 0.5000  4 Sc 2.96, 4 Ge 2.96
Hf3 0.5000 0.0000 0.5000  4 Sc 2.96, 4 Ge 2.96
Hf4 0.5000 0.5000 0.0000  4 Sc 2.96, 4 Ge 2.96
Sc1 0.0000 0.0000 0.5000  4 Ge 2.96, 4 Sc 2.96
Sc2 0.0000 0.5000 0.0000  4 Ge 2.96, 4 Sc 2.96
Sc3 0.2500 0.2500 0.2500  4 Hf 2.96, 4 Sc 2.96
Sc4 0.2500 0.7500 0.7500  4 Hf 2.96, 4 Sc 2.96
Sc5 0.5000 0.0000 0.0000  4 Ge 2.96, 4 Sc 2.96
Sc6 0.5000 0.5000 0.5000  4 Ge 2.96, 4 Sc 2.96
Sc7 0.7500 0.2500 0.7500  4 Hf 2.96, 4 Sc 2.96
Sc8 0.7500 0.7500 0.2500  4 Hf 2.96, 4 Sc 2.96
Ge1 0.2500 0.2500 0.7500  4 Hf 2.96, 4 Sc 2.96
Ge2 0.2500 0.7500 0.2500  4 Hf 2.96, 4 Sc 2.96
Ge3 0.7500 0.2500 0.2500  4 Hf 2.96, 4 Sc 2.96
Ge4 0.7500 0.7500 0.7500  4 Sc 2.96, 4 Hf 2.96

---

[5]
The following is a PBE-GGA calculation of Li2Cd2Ga2NiPd after structural relaxation, from OQMD.

Results
- Size of the total moment: 0.00 μB per formula unit
- Symmetry: P-4m2
- E: -3.1483 eV/atom

Cell lengths 4.3899, 4.3899, 6.2839 Å; angles 90.00, 90.00, 90.00 degrees
With the nearest neighbours (Å) after each atom.
Atoms (fractional coordinates):
Li1 0.0000 0.0000 0.0000  4 Cd 2.65, 4 Ga 2.65
Li2 0.5000 0.5000 0.5000  4 Ga 2.75, 4 Cd 2.75
Cd1 0.0000 0.5000 0.2372  4 Li 2.65-2.75, 2 Ni 2.65, 2 Pd 2.75
Cd2 0.5000 0.0000 0.7628  4 Li 2.65-2.75, 2 Ni 2.65, 2 Pd 2.75
Ga1 0.0000 0.5000 0.7625  4 Li 2.65-2.75, 2 Ni 2.65, 2 Pd 2.75
Ga2 0.5000 0.0000 0.2375  4 Li 2.65-2.75, 2 Ni 2.65, 2 Pd 2.75
Ni1 0.5000 0.5000 0.0000  4 Cd 2.65, 4 Ga 2.65
Pd1 0.0000 0.0000 0.5000  4 Ga 2.75, 4 Cd 2.75

---

[6]
The following is a PBE-GGA calculation of Nb4SiSnC2 after structural relaxation, from OQMD.

Results
- Size of the total moment: 0.01 μB per formula unit
- Symmetry: P-6m2
- E: -9.0051 eV/atom

Cell lengths 3.2399, 3.2399, 13.2669 Å; angles 90.00, 90.00, 120.00 degrees
With the nearest neighbours (Å) after each atom.
Atoms (fractional coordinates):
Nb1 0.0000 0.0000 0.1442  3 C 2.23
Nb2 0.0000 0.0000 0.8558  3 C 2.23
Nb3 0.3333 0.6667 0.3239  3 C 2.21
Nb4 0.3333 0.6667 0.6761  3 C 2.21
Si1 0.3333 0.6667 0.0000  6 Nb 2.68
Sn1 0.0000 0.0000 0.5000  6 Nb 2.99, 6 Sn 3.24
C1 0.6667 0.3333 0.2356  6 Nb 2.21-2.23
C2 0.6667 0.3333 0.7644  6 Nb 2.21-2.23

---

[7]
The following is a PBE-GGA calculation of TbHoSbCl2 after structural relaxation, from OQMD.

Results
- Size of the total moment: 0.03 μB per formula unit
- Symmetry: P3m1
- E: -5.0258 eV/atom

Cell lengths 4.1592, 4.1592, 10.4990 Å; angles 90.00, 90.00, 120.00 degrees
With the nearest neighbours (Å) after each atom.
Atoms (fractional coordinates):
Tb1 0.0000 0.0000 0.0000  3 Cl 2.85, 3 Sb 2.99
Ho1 0.3333 0.6667 0.3362  3 Cl 2.84, 3 Sb 2.97
Sb1 0.6667 0.3333 0.1701  3 Ho 2.97, 3 Tb 2.99
Cl1 0.0000 0.0000 0.4804  3 Ho 2.84
Cl2 0.3333 0.6667 0.8539  3 Tb 2.85

---

[8]
The following is a PBE-GGA calculation of YHfNO after structural relaxation, from OQMD.

Results
- Size of the total moment: 0.00 μB per formula unit
- Symmetry: Pbcm
- Energy above the lowest structure with this stoichiometry: 0 meV per atom
- E: -9.5582 eV/atom

Cell lengths 7.7311, 6.6097, 4.6592 Å; angles 90.00, 90.00, 90.00 degrees
With the nearest neighbours (Å) after each atom.
Atoms (fractional coordinates):
Y1 0.1218 0.0561 0.2500  4 O 2.30-2.39, 1 N 2.34
Y2 0.1218 0.4439 0.7500  4 O 2.30-2.39, 1 N 2.34
Y3 0.8782 0.5561 0.2500  4 O 2.30-2.39, 1 N 2.34
Y4 0.8782 0.9439 0.7500  4 O 2.30-2.39, 1 N 2.34
Hf1 0.3729 0.5965 0.2500  1 O 2.10, 4 N 2.11-2.34
Hf2 0.3729 0.9035 0.7500  1 O 2.10, 4 N 2.11-2.34
Hf3 0.6271 0.0965 0.2500  1 O 2.10, 4 N 2.11-2.34
Hf4 0.6271 0.4035 0.7500  1 O 2.10, 4 N 2.11-2.34
N1 0.4007 0.5818 0.7500  4 Hf 2.11-2.34, 1 Y 2.34
N2 0.4007 0.9182 0.2500  4 Hf 2.11-2.34, 1 Y 2.34
N3 0.5993 0.0818 0.7500  4 Hf 2.11-2.34, 1 Y 2.34
N4 0.5993 0.4182 0.2500  4 Hf 2.11-2.34, 1 Y 2.34
O1 0.1580 0.0981 0.7500  1 Hf 2.10, 1 Y 2.30
O2 0.1580 0.4019 0.2500  1 Hf 2.10, 1 Y 2.30
O3 0.8420 0.5981 0.7500  1 Hf 2.10, 1 Y 2.30
O4 0.8420 0.9019 0.2500  1 Hf 2.10, 1 Y 2.30

---

[9]
The following is a PBE-GGA calculation of TlCuTe3Ir after structural relaxation, from OQMD.

Results
- Size of the total moment: 0.00 μB per formula unit
- Symmetry: Cmcm
- E: -4.1532 eV/atom

Cell lengths 7.8406, 7.8406, 10.3959 Å; angles 90.00, 90.00, 150.57 degrees
With the nearest neighbours (Å) after each atom.
Atoms (fractional coordinates):
Tl1 0.2334 0.7666 0.7500  8 Te 3.49-3.67, 2 Cu 3.52
Tl2 0.7666 0.2334 0.2500  8 Te 3.49-3.67, 2 Cu 3.52
Cu1 0.4582 0.5418 0.2500  4 Te 2.57-2.60
Cu2 0.5418 0.4582 0.7500  4 Te 2.57-2.60
Te1 0.0685 0.9315 0.2500  2 Cu 2.60, 2 Ir 2.80
Te2 0.3808 0.6192 0.0297  1 Cu 2.57, 2 Ir 2.71
Te3 0.3808 0.6192 0.4703  1 Cu 2.57, 2 Ir 2.71
Te4 0.6192 0.3808 0.5297  1 Cu 2.57, 2 Ir 2.71
Te5 0.6192 0.3808 0.9703  1 Cu 2.57, 2 Ir 2.71
Te6 0.9315 0.0685 0.7500  2 Cu 2.60, 2 Ir 2.80
Ir1 0.0000 0.0000 0.0000  6 Te 2.71-2.80
Ir2 0.0000 0.0000 0.5000  6 Te 2.71-2.80

---

[10]
The following is a PBE-GGA calculation of TmMgTe3Au after structural relaxation, from OQMD.

Results
- Size of the total moment: 0.00 μB per formula unit
- Symmetry: Pnma
- Energy above the lowest structure with this stoichiometry: 44 meV per atom
- E: -3.8599 eV/atom

Cell lengths 13.4544, 4.1086, 12.3477 Å; angles 90.00, 90.00, 90.00 degrees
With the nearest neighbours (Å) after each atom.
Atoms (fractional coordinates):
Tm1 0.0638 0.2500 0.1813  6 Te 2.99-3.21
Tm2 0.4362 0.7500 0.6813  6 Te 2.99-3.21
Tm3 0.5638 0.2500 0.3187  6 Te 2.99-3.21
Tm4 0.9362 0.7500 0.8187  6 Te 2.99-3.21
Mg1 0.2080 0.2500 0.4706  2 Au 2.86, 2 Te 2.96
Mg2 0.2920 0.7500 0.9706  2 Au 2.86, 2 Te 2.96
Mg3 0.7080 0.2500 0.0294  2 Au 2.86, 2 Te 2.96
Mg4 0.7920 0.7500 0.5294  2 Au 2.86, 2 Te 2.96
Te1 0.0513 0.7500 0.3644  1 Au 2.71
Te2 0.0787 0.2500 0.9218  1 Au 2.68
Te3 0.2165 0.7500 0.6434  2 Mg 2.96, 1 Tm 2.99, 2 Au 2.99
Te4 0.2835 0.2500 0.1434  2 Mg 2.96, 1 Tm 2.99, 2 Au 2.99
Te5 0.4213 0.7500 0.4218  1 Au 2.68
Te6 0.4487 0.2500 0.8644  1 Au 2.71
Te7 0.5513 0.7500 0.1356  1 Au 2.71
Te8 0.5787 0.2500 0.5782  1 Au 2.68
Te9 0.7165 0.7500 0.8566  2 Mg 2.96, 1 Tm 2.99, 2 Au 2.99
Te10 0.7835 0.2500 0.3566  2 Mg 2.96, 1 Tm 2.99, 2 Au 2.99
Te11 0.9213 0.7500 0.0782  1 Au 2.68
Te12 0.9487 0.2500 0.6356  1 Au 2.71
Au1 0.2479 0.7500 0.3154  4 Te 2.68-2.99, 2 Mg 2.86
Au2 0.2521 0.2500 0.8154  4 Te 2.68-2.99, 2 Mg 2.86
Au3 0.7479 0.7500 0.1846  4 Te 2.68-2.99, 2 Mg 2.86
Au4 0.7521 0.2500 0.6846  4 Te 2.68-2.99, 2 Mg 2.86

---

[11]
The following is a PBE-GGA calculation of KHo4SnC2 after structural relaxation, from OQMD.

Results
- Size of the total moment: 0.03 μB per formula unit
- Symmetry: P-6m2
- E: -5.5506 eV/atom

Cell lengths 3.6217, 3.6217, 18.0137 Å; angles 90.00, 90.00, 120.00 degrees
With the nearest neighbours (Å) after each atom.
Atoms (fractional coordinates):
K1 0.0000 0.0000 0.0000  6 K 3.62
Ho1 0.0000 0.0000 0.3592  3 C 2.52
Ho2 0.0000 0.0000 0.6408  3 C 2.52
Ho3 0.3333 0.6667 0.2127  3 C 2.43
Ho4 0.3333 0.6667 0.7873  3 C 2.43
Sn1 0.3333 0.6667 0.5000  6 Ho 3.29, 6 Sn 3.62
C1 0.6667 0.3333 0.2809  6 Ho 2.43-2.52
C2 0.6667 0.3333 0.7191  6 Ho 2.43-2.52